[1]
# KCuN2 (PBE, optimized geometry)
data_KCuN2
_space_group_name_H-M_alt 'R -3 m'
_space_group_IT_number 166
_space_group_name_Hall '-R 3 2"'
_cell_length_a 3.7482
_cell_length_b 3.7482
_cell_length_c 21.5588
_cell_angle_alpha 90.00
_cell_angle_beta 90.00
_cell_angle_gamma 120.00
loop_
_atom_site_label
_atom_site_type_symbol
_atom_site_fract_x
_atom_site_fract_y
_atom_site_fract_z
K1 K 0.0000 0.0000 0.0000
Cu1 Cu 0.0000 0.0000 0.5000
N1 N 0.0000 0.0000 0.4162
# Energy relative to the elements, uncorrected: 1460 meV/atom
# DOS(E_F): 1.46 states/eV per cell

=====

[2]
# K2CuN2 (PBE, optimized geometry)
data_K2CuN2
_space_group_name_H-M_alt 'P 4/m b m'
_space_group_IT_number 127
_space_group_name_Hall '-P 4 2ab'
_cell_length_a 8.0433
_cell_length_b 8.0433
_cell_length_c 3.5027
_cell_angle_alpha 90.00
_cell_angle_beta 90.00
_cell_angle_gamma 90.00
loop_
_atom_site_label
_atom_site_type_symbol
_atom_site_fract_x
_atom_site_fract_y
_atom_site_fract_z
K1 K 0.2313 0.2687 0.0000
Cu1 Cu 0.0000 0.0000 0.5000
N1 N 0.0519 0.5519 0.5000
# Energy relative to the elements, uncorrected: 157 meV/atom
# DOS(E_F): 2.06 states/eV per cell

=====

[3]
# KCuN2 (PBE, optimized geometry)
data_KCuN2
_space_group_name_H-M_alt 'I -4 2 d'
_space_group_IT_number 122
_space_group_name_Hall 'I -4 2bw'
_cell_length_a 5.8733
_cell_length_b 5.8733
_cell_length_c 7.4418
_cell_angle_alpha 90.00
_cell_angle_beta 90.00
_cell_angle_gamma 90.00
loop_
_atom_site_label
_atom_site_type_symbol
_atom_site_fract_x
_atom_site_fract_y
_atom_site_fract_z
K1 K 0.0000 0.0000 0.0000
Cu1 Cu 0.0000 0.0000 0.5000
N1 N 0.1094 0.2500 0.6250
# Energy relative to the elements, uncorrected: 1008 meV/atom
# DOS(E_F): 9.82 states/eV per cell

=====

[4]
# KCu3N (PBE, optimized geometry)
data_KCu3N
_space_group_name_H-M_alt 'P m -3 m'
_space_group_IT_number 221
_space_group_name_Hall '-P 4 2 3'
_cell_length_a 4.8770
_cell_length_b 4.8770
_cell_length_c 4.8770
_cell_angle_alpha 90.00
_cell_angle_beta 90.00
_cell_angle_gamma 90.00
loop_
_atom_site_label
_atom_site_type_symbol
_atom_site_fract_x
_atom_site_fract_y
_atom_site_fract_z
K1 K 0.0000 0.0000 0.0000
Cu1 Cu 0.0000 0.0000 0.5000
N1 N 0.5000 0.5000 0.5000
# Energy relative to the elements, uncorrected: 2794 meV/atom
# DOS(E_F): 4.63 states/eV per cell

=====

[5]
# KCuN2 (PBE, optimized geometry)
data_KCuN2
_space_group_name_H-M_alt 'F m -3 m'
_space_group_IT_number 225
_space_group_name_Hall '-F 4 2 3'
_cell_length_a 5.8658
_cell_length_b 5.8658
_cell_length_c 5.8658
_cell_angle_alpha 90.00
_cell_angle_beta 90.00
_cell_angle_gamma 90.00
loop_
_atom_site_label
_atom_site_type_symbol
_atom_site_fract_x
_atom_site_fract_y
_atom_site_fract_z
K1 K 0.0000 0.0000 0.0000
Cu1 Cu 0.0000 0.0000 0.5000
N1 N 0.2500 0.2500 0.2500
# Energy relative to the elements, uncorrected: 1947 meV/atom
# DOS(E_F): 17.25 states/eV per cell

=====

[6]
# KCuN2 (PBE, optimized geometry)
data_KCuN2
_space_group_name_H-M_alt 'R -3 m'
_space_group_IT_number 166
_space_group_name_Hall '-R 3 2"'
_cell_length_a 3.1490
_cell_length_b 3.1490
_cell_length_c 20.1064
_cell_angle_alpha 90.00
_cell_angle_beta 90.00
_cell_angle_gamma 120.00
loop_
_atom_site_label
_atom_site_type_symbol
_atom_site_fract_x
_atom_site_fract_y
_atom_site_fract_z
K1 K 0.0000 0.0000 0.0000
Cu1 Cu 0.0000 0.0000 0.5000
N1 N 0.0000 0.0000 0.1241
# Energy relative to the elements, uncorrected: 1229 meV/atom
# DOS(E_F): 1.51 states/eV per cell

=====

Question: What is the energy relative to the elements, uncorrected in the fifth record?
Answer: 1947 meV/atom

=====

Question: The lowest DOS(E_F) belongs to which entry?
Answer: number 1

=====

Question: Which of these has the lowest energy relative to the elements, uncorrected?
Answer: K2CuN2

=====

Question: The highest energy relative to the elements, uncorrected belongs to which entry?
Answer: KCu3N